1.
A relaxed structure of TlAgP2. Source: the Alexandria database, functional PBE.

extended XYZ file:
```
4
Lattice="-2.2109 2.2109 4.0519 2.2109 -2.2109 4.0519 2.2109 2.2109 -4.0519" Properties=species:S:1:pos:R:3 pbc="T T T"
Tl 0.0000 0.0000 0.0000
Ag 2.2109 0.0000 2.0259
P 0.0000 0.0000 4.0519
P 0.0000 2.2109 2.0259
```

Properties
SG: I-4m2


2.
A relaxed structure of TlAgP2. Source: the Alexandria database, functional PBE.

extended XYZ file:
```
4
Lattice="4.4767 0.0000 0.0000 0.0000 4.0007 0.0000 -1.0885 0.0000 5.3267" Properties=species:S:1:pos:R:3 pbc="T T T"
Tl 0.0000 0.0000 0.0000
Ag 1.6941 0.0000 2.6633
P 0.2826 2.0003 3.3396
P 3.1055 2.0003 1.9871
```

Properties
SG: P2/m


3.
A relaxed structure of Tl2AgP2. Source: the Alexandria database, functional PBE.

extended XYZ file:
```
10
Lattice="8.0419 0.0000 0.0000 0.0000 8.0419 0.0000 0.0000 0.0000 4.2562" Properties=species:S:1:pos:R:3 pbc="T T T"
Tl 1.5198 2.5011 0.0000
Tl 2.5011 6.5221 0.0000
Tl 5.5408 1.5198 0.0000
Tl 6.5221 5.5408 0.0000
Ag 0.0000 0.0000 0.0000
Ag 4.0209 4.0209 0.0000
P 0.7211 4.7420 2.1281
P 3.2999 0.7211 2.1281
P 4.7420 7.3208 2.1281
P 7.3208 3.2999 2.1281
```

Properties
SG: P4/mbm


4.
A relaxed structure of TlAg2P. Source: the Alexandria database, functional PBE.

extended XYZ file:
```
8
Lattice="-2.6604 2.6604 7.6473 2.6604 -2.6604 7.6473 2.6604 2.6604 -7.6473" Properties=species:S:1:pos:R:3 pbc="T T T"
Tl 0.0000 0.0000 0.0000
Tl 0.0000 2.6604 3.8237
Ag 1.3302 -0.5958 5.7355
Ag 2.0646 1.3302 1.9118
Ag 1.3302 3.2562 -1.9118
Ag 0.5958 1.3302 9.5592
P 2.6604 0.0000 3.8237
P 0.0000 0.0000 7.6473
```

Properties
SG: I-42d


5.
A relaxed structure of TlAgP2. Source: the Alexandria database, functional PBE.

extended XYZ file:
```
4
Lattice="4.1004 -1.6281 0.0000 4.1004 1.6281 0.0000 -2.6873 0.0000 6.7283" Properties=species:S:1:pos:R:3 pbc="T T T"
Tl 0.0000 0.0000 0.0000
Ag -0.3828 0.0000 4.6606
P 1.8662 0.0000 3.4911
P 6.0500 0.0000 2.0330
```

Properties
SG: Cm


6.
A relaxed structure of TlAg2P. Source: the Alexandria database, functional PBE.

extended XYZ file:
```
4
Lattice="0.0000 3.4345 3.4345 3.4345 0.0000 3.4345 3.4345 3.4345 0.0000" Properties=species:S:1:pos:R:3 pbc="T T T"
Tl 0.0000 0.0000 0.0000
Ag 1.7172 1.7172 1.7172
Ag 3.4345 3.4345 3.4345
P 5.1517 5.1517 5.1517
```

Properties
SG: F-43m


7.
A relaxed structure of TlAgP2. Source: the Alexandria database, functional PBE.

extended XYZ file:
```
4
Lattice="5.4435 -1.6096 0.0000 5.4435 1.6096 0.0000 -2.3395 0.0000 5.3213" Properties=species:S:1:pos:R:3 pbc="T T T"
Tl 0.0000 0.0000 0.0000
Ag 4.2737 0.0000 2.6607
P 1.0487 0.0000 3.2403
P 7.4988 0.0000 2.0810
```

Properties
SG: C2/m


8.
A relaxed structure of TlAgP2. Source: the Alexandria database, functional PBE.

extended XYZ file:
```
4
Lattice="-1.8458 2.0883 5.2350 1.8458 -2.0883 5.2350 1.8458 2.0883 -5.2350" Properties=species:S:1:pos:R:3 pbc="T T T"
Tl 0.0000 0.0000 0.0000
Ag 0.0000 0.0000 5.2350
P 1.8458 0.0000 2.7381
P 0.0000 2.0883 2.4969
```

Properties
SG: Immm


| no. | E_form (meV per atom) | M_tot (μB per formula unit) | density (g cm⁻³) |
| --- | --- | --- | --- |
| 1 | 652 | 0.00 | 7.84 |
| 2 | 130 | 0.00 | 6.51 |
| 3 | 346 | 0.00 | 6.98 |
| 4 | 187 | 0.00 | 6.92 |
| 5 | 138 | 0.00 | 6.92 |
| 6 | 397 | 0.00 | 9.24 |
| 7 | 197 | 0.00 | 6.66 |
| 8 | 609 | 0.00 | 7.70 |